(1)
ZnRuRh6 after structural relaxation. Source: Alexandria via LeMat-Bulk, functional GGA-PBE.

Cell lengths 3.8334, 3.8334, 7.6806 Å; angles 90.00, 90.00, 90.00 degrees
Atoms (fractional coordinates):
Zn1 0.0000 0.0000 0.0000
Ru1 0.0000 0.0000 0.5000
Rh1 0.5000 0.5000 0.0000
Rh2 0.5000 0.5000 0.5000
Rh3 0.5000 0.0000 0.2542
Rh4 0.5000 0.0000 0.7458
Rh5 0.0000 0.5000 0.2542
Rh6 0.0000 0.5000 0.7458

Calculated values
DFT formation energy = -0.075 eV/atom


(2)
ZnRuRh2 after structural relaxation. Source: Alexandria via LeMat-Bulk, functional GGA-PBE.

Cell lengths 4.6703, 4.6703, 4.6818 Å; angles 80.91, 80.91, 33.88 degrees
Atoms (fractional coordinates):
Rh1 0.0027 0.0027 0.9978
Rh2 0.4973 0.4973 0.5022
Ru1 0.7500 0.7500 0.7500
Zn1 0.2500 0.2500 0.2500

Calculated values
DFT formation energy = -0.048 eV/atom


Question: What is the DFT formation energy in the first record?
Answer: -0.075 eV/atom


Question: What is the formula in the first record?
Answer: ZnRuRh6